(1)
A plane-wave DFT calculation with PBE-GGA was carried out for an optimized crystal structure of BiC3O6.

abc: 6.450 6.450 6.450
angles: 115.20 115.20 115.20
Fractional positions:
1 Bi 0.000 0.000 0.000
2 C 0.268 0.721 0.721
3 C 0.721 0.268 0.721
4 C 0.721 0.721 0.268
5 O 0.369 0.964 0.964
6 O 0.410 0.663 0.663
7 O 0.663 0.410 0.663
8 O 0.663 0.663 0.410
9 O 0.964 0.369 0.964
10 O 0.964 0.964 0.369

Computed properties:
SG: R3m
V (Å³ per atom): 14.73
Spin magnetization (μB/cell): 3.0

(2)
A plane-wave DFT calculation with PBE-GGA was carried out for an optimized crystal structure of BiCO3.

abc: 6.872 5.093 8.887
angles: 90.00 106.21 90.00
Fractional positions:
1 Bi 0.239 0.250 0.303
2 Bi 0.240 0.750 0.803
3 Bi 0.760 0.250 0.197
4 Bi 0.761 0.750 0.697
5 C 0.239 0.750 0.126
6 C 0.240 0.250 0.626
7 C 0.760 0.750 0.374
8 C 0.761 0.250 0.874
9 O 0.239 0.530 0.053
10 O 0.239 0.750 0.272
11 O 0.239 0.970 0.053
12 O 0.240 0.031 0.553
13 O 0.240 0.469 0.553
14 O 0.241 0.250 0.772
15 O 0.759 0.750 0.228
16 O 0.760 0.531 0.447
17 O 0.760 0.969 0.447
18 O 0.761 0.030 0.947
19 O 0.761 0.250 0.728
20 O 0.761 0.470 0.947

Computed properties:
SG: P2_1/m
V (Å³ per atom): 14.93
Spin magnetization (μB/cell): 0.0

Summary of E_tot in eV per atom
-6.784 -6.829
(order as listed above)
Summary of energy relative to the elements, uncorrected in eV/atom
-0.654 -1.233
(order as listed above)